Computed, not measured: crystalline Ti2Re2Pb at its relaxed geometry at the PBE level of DFT.

Geometry as extended XYZ:
```
5
Lattice="4.2318 0.0000 0.0000 0.0000 4.2318 0.0000 2.1159 2.1159 5.4404" Properties=species:S:1:pos:R:3 pbc="T T T"
Pb 0.0000 0.0000 0.0000
Re 2.1159 2.1159 1.2271
Re 4.2318 4.2318 4.2133
Ti 4.2318 2.1159 2.7202
Ti 2.1159 4.2318 2.7202
```

Values from the calculation:
E_form = 454 meV/atom
space-group type = I4/mmm
distance to the lowest polymorph of the same formula = 246 meV/atom

Computed, not measured: crystalline Ca2AgBr at its relaxed geometry at the PBE level of DFT.

Geometry as extended XYZ:
```
4
Lattice="-4.2069 7.2824 5.9744 -6.4128 7.6402 2.6321 -7.3515 4.8507 5.3712" Properties=species:S:1:pos:R:3 pbc="T T T"
Ca -0.2610 0.2872 0.2030
Ca -4.2938 4.7244 3.3397
Br -13.2852 14.6174 10.3331
Ag -9.1167 10.0309 7.0908
```

Values from the calculation:
space-group type = R3m
distance to the lowest polymorph of the same formula = 239 meV/atom
ΔE_f (raw) = -0.578 eV per atom

Computed, not measured: crystalline La2CrAs at its relaxed geometry at the PBE level of DFT.

Geometry as extended XYZ:
```
4
Lattice="3.8698 0.0000 0.0000 0.0000 3.8701 0.0000 0.0000 0.0000 7.0966" Properties=species:S:1:pos:R:3 pbc="T T T"
As 1.9349 1.9351 1.7741
Cr 1.9349 1.9351 5.3224
La 0.0000 0.0000 0.1027
La 0.0000 0.0000 3.4456
```

Values from the calculation:
E_form = -363 meV/atom
space-group type = P4/mmm